# Sm2Al3Ni12Pt | Alexandria via LeMat-Bulk | PBE-GGA | optimized geometry
data_Sm2Al3Ni12Pt
_chemical_formula_sum 'Sm6 Al9 Ni36 Pt3'
_space_group_name_H-M_alt 'R -3 m'
_space_group_IT_number 166
_space_group_name_Hall '-R 3 2"'
_cell_length_a 5.9432
_cell_length_b 5.9432
_cell_length_c 26.7023
_cell_angle_alpha 90.00
_cell_angle_beta 90.00
_cell_angle_gamma 120.00
loop_
_atom_site_label
_atom_site_type_symbol
_atom_site_fract_x
_atom_site_fract_y
_atom_site_fract_z
Sm1 Sm 0.0000 0.0000 0.1417
Al1 Al 0.0000 0.5000 0.0000
Ni1 Ni 0.0339 0.5169 0.8993
Ni2 Ni 0.0706 0.5353 0.6219
Pt1 Pt 0.0000 0.0000 0.5000
# * E_form: -0.045 eV per atom


# Be3CoBr | Alexandria via LeMat-Bulk | PBE-GGA | optimized geometry
data_Be3CoBr
_chemical_formula_sum 'Be3 Co1 Br1'
_space_group_name_H-M_alt 'P m -3 m'
_space_group_IT_number 221
_space_group_name_Hall '-P 4 2 3'
_cell_length_a 4.146
_cell_length_b 4.146
_cell_length_c 4.146
_cell_angle_alpha 90.00
_cell_angle_beta 90.00
_cell_angle_gamma 90.00
loop_
_atom_site_label
_atom_site_type_symbol
_atom_site_fract_x
_atom_site_fract_y
_atom_site_fract_z
Be1 Be 0.000 0.000 0.500
Co1 Co 0.000 0.000 0.000
Br1 Br 0.500 0.500 0.500
# * excess energy over the best structure of this formula in the dataset: 0.000 eV per formula unit
# * uncorrected formation energy: 0.837 eV per atom


Number 1: raw total energy -5.38 eV per atom, DOS at the Fermi energy 0.854 states/eV per atom. Number 2: raw total energy -3.15 eV per atom, DOS at the Fermi energy 0.489 states/eV per atom.